First-principles (PBE-GGA) data for a relaxed structure of NdCo2Os, as listed in Alexandria.

The structure in POSCAR format:
```
NdCo2Os
1.0
2.712 -3.384 0.000
2.712 3.384 0.000
0.000 0.000 4.174
Nd Co Os
1 2 1
Direct
0.000 0.000 0.000
0.323 0.677 0.500
0.677 0.323 0.500
0.500 0.500 0.000
```

Summary:
Relative energy among the computed polymorphs   13.48 kcal/mol of atoms
E   -27.86 eV/cell
Calculated formation energy   587 meV per atom